Record 1
The following is a PBEsol calculation of an optimized crystal structure of La2InW, from Alexandria via LeMat-Bulk.

Total moment: 0.00 μB/atom

abc: 3.080 4.811 7.543
angles: 94.39 90.00 108.67
Atoms (fractional coordinates):
In: 0.500 0.000 0.000
La: 0.751 0.502 0.720
La: 0.249 0.498 0.280
W: 0.000 0.000 0.500

---

Record 2
The following is a PBEsol calculation of an optimized crystal structure of ZrNbCo4, from Alexandria via LeMat-Bulk.

Total moment: 0.00 μB/atom

abc: 4.754 4.754 4.754
angles: 60.00 60.00 60.00
Atoms (fractional coordinates):
Nb: 0.750 0.750 0.750
Co: 0.876 0.375 0.375
Co: 0.375 0.375 0.375
Co: 0.375 0.876 0.375
Co: 0.375 0.375 0.876
Zr: 0.000 0.000 0.000

---

Calculated energy of formation from the pure elements in order - 201; -148 kJ/mol of formula units
Calculated total DFT energy (no corrections) in order - -6.3494; -8.7316 eV per atom
Calculated DOS at the Fermi energy in order - 4.60; 8.86 states/eV/f.u.